# 1
Below is a relaxed structure of Pa3Fe, with properties calculated at the PBE-GGA level.

abc: 4.390 4.390 4.390
angles: 90.00 90.00 90.00
Atoms (fractional coordinates):
Pa (0.000, 0.000, 0.500)
Pa (0.000, 0.500, 0.000)
Pa (0.500, 0.000, 0.000)
Fe (0.500, 0.500, 0.500)

Values from the calculation:
The formation enthalpy at 0 K comes out at 369 meV/atom. The space group is Pm-3m, No. 221. As for the uncorrected energy: -8.83 eV per atom.

=====

# 2
Below is a relaxed structure of PaFePb, with properties calculated at the PBE-GGA level.

abc: 4.570 4.570 4.570
angles: 60.00 60.00 60.00
Atoms (fractional coordinates):
Pa (0.000, 0.000, 0.000)
Fe (0.250, 0.250, 0.250)
Pb (0.500, 0.500, 0.500)

Values from the calculation:
The space group is F-43m, No. 216. As for the uncorrected energy: -7.09 eV per atom.

=====

# 3
Below is a relaxed structure of PaFePb, with properties calculated at the PBE-GGA level.

abc: 4.907 4.907 4.907
angles: 60.00 60.00 60.00
Atoms (fractional coordinates):
Pa (0.000, 0.000, 0.000)
Fe (0.750, 0.750, 0.750)
Pb (0.250, 0.250, 0.250)

Values from the calculation:
The space group is F-43m, No. 216. As for the uncorrected energy: -6.18 eV per atom.

=====

# 4
Below is a relaxed structure of PmPaFe, with properties calculated at the PBE-GGA level.

abc: 4.644 4.644 4.644
angles: 60.00 60.00 60.00
Atoms (fractional coordinates):
Pm (0.000, 0.000, 0.000)
Pa (0.500, 0.500, 0.500)
Fe (0.750, 0.750, 0.750)

Values from the calculation:
The formation enthalpy at 0 K comes out at 353 meV/atom. The space group is F-43m, No. 216. As for the uncorrected energy: -7.16 eV per atom.

=====

# 5
Below is a relaxed structure of PrPaFe, with properties calculated at the PBE-GGA level.

abc: 4.668 4.668 4.668
angles: 60.00 60.00 60.00
Atoms (fractional coordinates):
Pr (0.000, 0.000, 0.000)
Pa (0.500, 0.500, 0.500)
Fe (0.750, 0.750, 0.750)

Values from the calculation:
The formation enthalpy at 0 K comes out at 407 meV/atom. The space group is F-43m, No. 216. As for the uncorrected energy: -7.12 eV per atom.

=====

# 6
Below is a relaxed structure of PaFePt, with properties calculated at the PBE-GGA level.

abc: 4.309 4.309 4.309
angles: 60.00 60.00 60.00
Atoms (fractional coordinates):
Pa (0.000, 0.000, 0.000)
Fe (0.750, 0.750, 0.750)
Pt (0.500, 0.500, 0.500)

Values from the calculation:
The formation enthalpy at 0 K comes out at -324 meV/atom. The space group is F-43m, No. 216. As for the uncorrected energy: -8.28 eV per atom.

=====

# 7
Below is a relaxed structure of PaFePt, with properties calculated at the PBE-GGA level.

abc: 5.746 5.746 3.855
angles: 100.39 100.39 58.73
Atoms (fractional coordinates):
Pa (0.193, 0.193, 0.155)
Pa (0.807, 0.807, 0.845)
Fe (0.371, 0.371, 0.932)
Fe (0.629, 0.629, 0.068)
Pt (0.251, 0.749, 0.500)
Pt (0.749, 0.251, 0.500)

Values from the calculation:
The formation enthalpy at 0 K comes out at -635 meV/atom. The space group is C2/m, No. 12. As for the uncorrected energy: -8.59 eV per atom.

=====

# 8
Below is a relaxed structure of PuPaFe4, with properties calculated at the PBE-GGA level.

abc: 4.872 4.872 4.872
angles: 60.00 60.00 60.00
Atoms (fractional coordinates):
Pu (0.000, 0.000, 0.000)
Pa (0.750, 0.750, 0.750)
Fe (0.374, 0.374, 0.374)
Fe (0.374, 0.374, 0.878)
Fe (0.374, 0.878, 0.374)
Fe (0.878, 0.374, 0.374)

Values from the calculation:
The formation enthalpy at 0 K comes out at -54 meV/atom. The space group is F-43m, No. 216. As for the uncorrected energy: -9.53 eV per atom.

=====

# 9
Below is a relaxed structure of PuPaFe, with properties calculated at the PBE-GGA level.

abc: 4.352 4.352 4.352
angles: 60.00 60.00 60.00
Atoms (fractional coordinates):
Pu (0.000, 0.000, 0.000)
Pa (0.750, 0.750, 0.750)
Fe (0.500, 0.500, 0.500)

Values from the calculation:
The formation enthalpy at 0 K comes out at 259 meV/atom. The space group is F-43m, No. 216. As for the uncorrected energy: -10.38 eV per atom.

=====

# 10
Below is a relaxed structure of Pa2FeSi3, with properties calculated at the PBE-GGA level.

abc: 3.833 4.073 6.898
angles: 90.00 90.00 90.00
Atoms (fractional coordinates):
Pa (0.000, 0.000, 0.000)
Pa (0.000, 0.500, 0.475)
Fe (0.500, 0.000, 0.314)
Si (0.500, 0.000, 0.644)
Si (0.500, 0.500, 0.158)
Si (0.500, 0.500, 0.817)

Values from the calculation:
The space group is Pmm2, No. 25. As for the uncorrected energy: -7.88 eV per atom.

=====

# 11
Below is a relaxed structure of SrPaFe, with properties calculated at the PBE-GGA level.

abc: 4.735 4.735 4.735
angles: 60.00 60.00 60.00
Atoms (fractional coordinates):
Sr (0.000, 0.000, 0.000)
Pa (0.500, 0.500, 0.500)
Fe (0.250, 0.250, 0.250)

Values from the calculation:
The space group is F-43m, No. 216. As for the uncorrected energy: -5.67 eV per atom.

=====

# 12
Below is a relaxed structure of PaTaFe, with properties calculated at the PBE-GGA level.

abc: 4.391 4.391 4.391
angles: 60.00 60.00 60.00
Atoms (fractional coordinates):
Pa (0.000, 0.000, 0.000)
Ta (0.500, 0.500, 0.500)
Fe (0.750, 0.750, 0.750)

Values from the calculation:
The formation enthalpy at 0 K comes out at 358 meV/atom. The space group is F-43m, No. 216. As for the uncorrected energy: -9.53 eV per atom.

=====

# 13
Below is a relaxed structure of TbPaFe, with properties calculated at the PBE-GGA level.

abc: 4.608 4.608 4.608
angles: 60.00 60.00 60.00
Atoms (fractional coordinates):
Tb (0.000, 0.000, 0.000)
Pa (0.500, 0.500, 0.500)
Fe (0.750, 0.750, 0.750)

Values from the calculation:
The formation enthalpy at 0 K comes out at 280 meV/atom. The space group is F-43m, No. 216. As for the uncorrected energy: -7.20 eV per atom.

=====

# 14
Below is a relaxed structure of PaFeTc, with properties calculated at the PBE-GGA level.

abc: 4.272 4.272 4.272
angles: 60.00 60.00 60.00
Atoms (fractional coordinates):
Pa (0.000, 0.000, 0.000)
Fe (0.750, 0.750, 0.750)
Tc (0.500, 0.500, 0.500)

Values from the calculation:
The formation enthalpy at 0 K comes out at 219 meV/atom. The space group is F-43m, No. 216. As for the uncorrected energy: -9.17 eV per atom.

=====

# 15
Below is a relaxed structure of PaFeTc, with properties calculated at the PBE-GGA level.

abc: 4.291 4.291 4.291
angles: 60.00 60.00 60.00
Atoms (fractional coordinates):
Pa (0.000, 0.000, 0.000)
Fe (0.750, 0.750, 0.750)
Tc (0.250, 0.250, 0.250)

Values from the calculation:
The formation enthalpy at 0 K comes out at 502 meV/atom. The space group is F-43m, No. 216. As for the uncorrected energy: -8.89 eV per atom.

=====

# 16
Below is a relaxed structure of PaFeTe, with properties calculated at the PBE-GGA level.

abc: 4.478 4.478 4.478
angles: 60.00 60.00 60.00
Atoms (fractional coordinates):
Pa (0.000, 0.000, 0.000)
Fe (0.750, 0.750, 0.750)
Te (0.500, 0.500, 0.500)

Values from the calculation:
The space group is F-43m, No. 216. As for the uncorrected energy: -7.35 eV per atom.

=====

# 17
Below is a relaxed structure of PaFeTe, with properties calculated at the PBE-GGA level.

abc: 4.861 4.861 4.861
angles: 60.00 60.00 60.00
Atoms (fractional coordinates):
Pa (0.000, 0.000, 0.000)
Fe (0.750, 0.750, 0.750)
Te (0.250, 0.250, 0.250)

Values from the calculation:
The space group is F-43m, No. 216. As for the uncorrected energy: -6.58 eV per atom.

=====

# 18
Below is a relaxed structure of PaTlFe, with properties calculated at the PBE-GGA level.

abc: 4.540 4.540 4.540
angles: 60.00 60.00 60.00
Atoms (fractional coordinates):
Pa (0.000, 0.000, 0.000)
Tl (0.500, 0.500, 0.500)
Fe (0.250, 0.250, 0.250)

Values from the calculation:
The space group is F-43m, No. 216. As for the uncorrected energy: -6.45 eV per atom.

=====

# 19
Below is a relaxed structure of PaTlFe, with properties calculated at the PBE-GGA level.

abc: 4.769 4.769 4.769
angles: 60.00 60.00 60.00
Atoms (fractional coordinates):
Pa (0.000, 0.000, 0.000)
Tl (0.250, 0.250, 0.250)
Fe (0.750, 0.750, 0.750)

Values from the calculation:
The space group is F-43m, No. 216. As for the uncorrected energy: -5.63 eV per atom.

=====

# 20
Below is a relaxed structure of TmPaFe, with properties calculated at the PBE-GGA level.

abc: 4.576 4.576 4.576
angles: 60.00 60.00 60.00
Atoms (fractional coordinates):
Tm (0.000, 0.000, 0.000)
Pa (0.500, 0.500, 0.500)
Fe (0.750, 0.750, 0.750)

Values from the calculation:
The formation enthalpy at 0 K comes out at 217 meV/atom. The space group is F-43m, No. 216. As for the uncorrected energy: -7.21 eV per atom.

=====

# 21
Below is a relaxed structure of PaFeW, with properties calculated at the PBE-GGA level.

abc: 4.336 4.336 4.336
angles: 60.00 60.00 60.00
Atoms (fractional coordinates):
Pa (0.000, 0.000, 0.000)
Fe (0.750, 0.750, 0.750)
W (0.250, 0.250, 0.250)

Values from the calculation:
The formation enthalpy at 0 K comes out at 1080 meV/atom. The space group is F-43m, No. 216. As for the uncorrected energy: -9.18 eV per atom.

=====

# 22
Below is a relaxed structure of PaFeW, with properties calculated at the PBE-GGA level.

abc: 4.339 4.339 4.339
angles: 60.00 60.00 60.00
Atoms (fractional coordinates):
Pa (0.000, 0.000, 0.000)
Fe (0.750, 0.750, 0.750)
W (0.500, 0.500, 0.500)

Values from the calculation:
The formation enthalpy at 0 K comes out at 542 meV/atom. The space group is F-43m, No. 216. As for the uncorrected energy: -9.71 eV per atom.

=====

# 23
Below is a relaxed structure of YPaFe, with properties calculated at the PBE-GGA level.

abc: 4.610 4.610 4.610
angles: 60.00 60.00 60.00
Atoms (fractional coordinates):
Y (0.000, 0.000, 0.000)
Pa (0.500, 0.500, 0.500)
Fe (0.750, 0.750, 0.750)

Values from the calculation:
The formation enthalpy at 0 K comes out at 292 meV/atom. The space group is F-43m, No. 216. As for the uncorrected energy: -7.80 eV per atom.

=====

# 24
Below is a relaxed structure of PaZn2Fe, with properties calculated at the PBE-GGA level.

abc: 4.294 6.823 4.725
angles: 90.00 104.62 90.00
Atoms (fractional coordinates):
Pa (0.032, 0.250, 0.170)
Pa (0.968, 0.750, 0.830)
Zn (0.420, 0.061, 0.731)
Zn (0.420, 0.439, 0.731)
Zn (0.580, 0.561, 0.269)
Zn (0.580, 0.939, 0.269)
Fe (0.117, 0.750, 0.419)
Fe (0.883, 0.250, 0.581)

Values from the calculation:
The formation enthalpy at 0 K comes out at -247 meV/atom. The space group is P2_1/m, No. 11. As for the uncorrected energy: -5.33 eV per atom.

=====

# 25
Below is a relaxed structure of Fe5Pb3, with properties calculated at the PBE-GGA level.

abc: 8.382 8.382 4.786
angles: 90.05 90.05 119.97
Atoms (fractional coordinates):
Fe (0.167, 0.833, 0.000)
Fe (0.167, 0.833, 0.500)
Fe (0.338, 0.500, 0.751)
Fe (0.339, 0.339, 0.252)
Fe (0.500, 0.338, 0.751)
Fe (0.500, 0.662, 0.249)
Fe (0.661, 0.661, 0.748)
Fe (0.662, 0.500, 0.249)
Fe (0.833, 0.167, 0.000)
Fe (0.833, 0.167, 0.500)
Pb (0.120, 0.120, 0.750)
Pb (0.120, 0.500, 0.250)
Pb (0.500, 0.120, 0.250)
Pb (0.500, 0.880, 0.750)
Pb (0.880, 0.500, 0.750)
Pb (0.880, 0.880, 0.250)

Values from the calculation:
The space group is C2/m, No. 12. As for the uncorrected energy: -6.07 eV per atom.

=====

# 26
Below is a relaxed structure of FePb3, with properties calculated at the PBE-GGA level.

abc: 6.731 6.731 5.452
angles: 90.00 90.00 120.00
Atoms (fractional coordinates):
Fe (0.333, 0.667, 0.250)
Fe (0.667, 0.333, 0.750)
Pb (0.173, 0.346, 0.750)
Pb (0.173, 0.827, 0.750)
Pb (0.346, 0.173, 0.250)
Pb (0.654, 0.827, 0.750)
Pb (0.827, 0.173, 0.250)
Pb (0.827, 0.654, 0.250)

Values from the calculation:
The space group is P6_3/mmc, No. 194. As for the uncorrected energy: -4.32 eV per atom.

=====

# 27
Below is a relaxed structure of FePb3, with properties calculated at the PBE-GGA level.

abc: 4.735 4.735 4.735
angles: 90.00 90.00 90.00
Atoms (fractional coordinates):
Fe (0.000, 0.000, 0.000)
Pb (0.000, 0.500, 0.500)
Pb (0.500, 0.000, 0.500)
Pb (0.500, 0.500, 0.000)

Values from the calculation:
The space group is Pm-3m, No. 221. As for the uncorrected energy: -4.30 eV per atom.

=====

# 28
Below is a relaxed structure of FePdPb, with properties calculated at the PBE-GGA level.

abc: 4.430 4.430 4.430
angles: 60.00 60.00 60.00
Atoms (fractional coordinates):
Fe (0.000, 0.000, 0.000)
Pd (0.250, 0.250, 0.250)
Pb (0.500, 0.500, 0.500)

Values from the calculation:
The space group is F-43m, No. 216. As for the uncorrected energy: -5.48 eV per atom.

=====

# 29
Below is a relaxed structure of FePd2Pb, with properties calculated at the PBE-GGA level.

abc: 4.556 4.556 4.556
angles: 60.00 60.00 60.00
Atoms (fractional coordinates):
Fe (0.000, 0.000, 0.000)
Pd (0.250, 0.250, 0.250)
Pd (0.500, 0.500, 0.500)
Pb (0.750, 0.750, 0.750)

Values from the calculation:
The space group is F-43m, No. 216. As for the uncorrected energy: -5.54 eV per atom.

=====

# 30
Below is a relaxed structure of FePdPtPb, with properties calculated at the PBE-GGA level.

abc: 4.574 4.574 4.574
angles: 60.00 60.00 60.00
Atoms (fractional coordinates):
Fe (0.000, 0.000, 0.000)
Pd (0.500, 0.500, 0.500)
Pt (0.250, 0.250, 0.250)
Pb (0.750, 0.750, 0.750)

Values from the calculation:
The space group is F-43m, No. 216. As for the uncorrected energy: -5.74 eV per atom.